Entry one
An optimized crystal structure of Tb7Nd12In. Source: Alexandria via LeMat-Bulk, functional PBE-GGA. Values from VASP.

```
&SYSTEM
  ibrav = 0, nat = 20, ntyp = 3
/
ATOMIC_SPECIES
Tb 158.93 Tb.upf
Nd 144.24 Nd.upf
In 114.82 In.upf
ATOMIC_POSITIONS crystal
Tb 0.000 0.000 0.000
Tb 0.120 0.355 0.438
Tb 0.355 0.438 0.120
Tb 0.438 0.120 0.355
Tb 0.562 0.880 0.645
Tb 0.645 0.562 0.880
Tb 0.880 0.645 0.562
Nd 0.005 0.357 0.885
Nd 0.115 0.995 0.643
Nd 0.237 0.761 0.370
Nd 0.239 0.630 0.763
Nd 0.357 0.885 0.005
Nd 0.370 0.237 0.761
Nd 0.630 0.763 0.239
Nd 0.643 0.115 0.995
Nd 0.761 0.370 0.237
Nd 0.763 0.239 0.630
Nd 0.885 0.005 0.357
Nd 0.995 0.643 0.115
In 0.500 0.500 0.500
CELL_PARAMETERS angstrom
6.171 3.563 5.140
-6.171 3.563 5.140
0.000 -7.125 5.140
```

Output
* calculated volume: 678 Å³ per cell
* total magnetization: 0.01 μB per formula unit



Entry two
An optimized crystal structure of Tb7Nd12In. Source: Alexandria via LeMat-Bulk, functional PBE-GGA. Values from VASP.

```
&SYSTEM
  ibrav = 0, nat = 20, ntyp = 3
/
ATOMIC_SPECIES
Tb 158.93 Tb.upf
Nd 144.24 Nd.upf
In 114.82 In.upf
ATOMIC_POSITIONS crystal
Tb 0.000 0.000 0.500
Tb 0.000 0.500 0.000
Tb 0.000 0.500 0.500
Tb 0.500 0.000 0.000
Tb 0.500 0.000 0.500
Tb 0.500 0.500 0.000
Tb 0.500 0.500 0.500
Nd 0.000 0.221 0.779
Nd 0.000 0.779 0.221
Nd 0.221 0.000 0.779
Nd 0.221 0.221 0.442
Nd 0.221 0.442 0.221
Nd 0.221 0.779 0.000
Nd 0.442 0.221 0.221
Nd 0.558 0.779 0.779
Nd 0.779 0.000 0.221
Nd 0.779 0.221 0.000
Nd 0.779 0.558 0.779
Nd 0.779 0.779 0.558
In 0.000 0.000 0.000
CELL_PARAMETERS angstrom
-5.811 5.811 5.811
5.811 -5.811 5.811
5.811 5.811 -5.811
```

Output
* calculated volume: 785 Å³ per cell
* total magnetization: 0.00 μB per formula unit



Relative energy table, unit kJ/mol of atoms: entry one 0.0; entry two 47.6



Entry one
An optimized crystal structure of Tb3Nd3In. Source: Alexandria via LeMat-Bulk, functional PBE-GGA. Values from VASP.

```
&SYSTEM
  ibrav = 0, nat = 14, ntyp = 3
/
ATOMIC_SPECIES
Tb 158.93 Tb.upf
Nd 144.24 Nd.upf
In 114.82 In.upf
ATOMIC_POSITIONS crystal
Tb 0.061 0.239 0.250
Tb 0.178 0.939 0.250
Tb 0.239 0.178 0.750
Tb 0.761 0.822 0.250
Tb 0.822 0.061 0.750
Tb 0.939 0.761 0.750
Nd 0.106 0.477 0.750
Nd 0.370 0.894 0.750
Nd 0.477 0.370 0.250
Nd 0.523 0.630 0.750
Nd 0.630 0.106 0.250
Nd 0.894 0.523 0.250
In 0.333 0.667 0.250
In 0.667 0.333 0.750
CELL_PARAMETERS angstrom
9.529 0.000 0.000
-4.764 8.252 0.000
0.000 0.000 5.655
```

Output
* calculated volume: 445 Å³ per cell
* total magnetization: 0.00 μB per formula unit



Entry two
An optimized crystal structure of Tb3Nd3In. Source: Alexandria via LeMat-Bulk, functional PBE-GGA. Values from VASP.

```
&SYSTEM
  ibrav = 0, nat = 28, ntyp = 3
/
ATOMIC_SPECIES
Tb 158.93 Tb.upf
Nd 144.24 Nd.upf
In 114.82 In.upf
ATOMIC_POSITIONS crystal
Tb 0.018 0.250 0.067
Tb 0.055 0.250 0.570
Tb 0.227 0.750 0.435
Tb 0.273 0.250 0.935
Tb 0.445 0.750 0.070
Tb 0.482 0.750 0.567
Tb 0.518 0.250 0.433
Tb 0.555 0.250 0.930
Tb 0.727 0.750 0.065
Tb 0.773 0.250 0.565
Tb 0.945 0.750 0.430
Tb 0.982 0.750 0.933
Nd 0.088 0.250 0.308
Nd 0.178 0.750 0.726
Nd 0.188 0.750 0.116
Nd 0.312 0.250 0.616
Nd 0.322 0.250 0.226
Nd 0.412 0.750 0.808
Nd 0.588 0.250 0.192
Nd 0.678 0.750 0.774
Nd 0.688 0.750 0.384
Nd 0.812 0.250 0.884
Nd 0.822 0.250 0.274
Nd 0.912 0.750 0.692
In 0.051 0.250 0.816
In 0.449 0.750 0.316
In 0.551 0.250 0.684
In 0.949 0.750 0.184
CELL_PARAMETERS angstrom
13.545 0.000 0.000
0.000 5.251 0.000
0.000 0.000 12.853
```

Output
* calculated volume: 914 Å³ per cell
* total magnetization: 0.00 μB per formula unit



Relative energy table, unit kJ/mol of atoms: entry one 0.0; entry two 8.1



Entry one
An optimized crystal structure of TbNd2In. Source: Alexandria via LeMat-Bulk, functional PBE-GGA. Values from VASP.

```
&SYSTEM
  ibrav = 0, nat = 4, ntyp = 3
/
ATOMIC_SPECIES
Tb 158.93 Tb.upf
Nd 144.24 Nd.upf
In 114.82 In.upf
ATOMIC_POSITIONS crystal
Tb 0.000 0.000 0.000
Nd 0.000 0.500 0.500
Nd 0.500 0.000 0.500
In 0.500 0.500 0.000
CELL_PARAMETERS angstrom
4.926 0.000 0.000
0.000 4.926 0.000
0.000 0.000 4.997
```

Output
* calculated volume: 121 Å³ per cell
* total magnetization: 0.02 μB per formula unit



Entry two
An optimized crystal structure of TbNd2In. Source: Alexandria via LeMat-Bulk, functional PBE-GGA. Values from VASP.

```
&SYSTEM
  ibrav = 0, nat = 4, ntyp = 3
/
ATOMIC_SPECIES
Tb 158.93 Tb.upf
Nd 144.24 Nd.upf
In 114.82 In.upf
ATOMIC_POSITIONS crystal
Tb 0.000 0.000 0.000
Nd 0.500 0.500 0.273
Nd 0.500 0.500 0.727
In 0.000 0.000 0.500
CELL_PARAMETERS angstrom
3.644 0.000 0.000
0.000 3.644 0.000
0.000 0.000 9.527
```

Output
* calculated volume: 127 Å³ per cell
* total magnetization: 0.00 μB per formula unit



Entry three
An optimized crystal structure of TbNd2In. Source: Alexandria via LeMat-Bulk, functional PBE-GGA. Values from VASP.

```
&SYSTEM
  ibrav = 0, nat = 4, ntyp = 3
/
ATOMIC_SPECIES
Tb 158.93 Tb.upf
Nd 144.24 Nd.upf
In 114.82 In.upf
ATOMIC_POSITIONS crystal
Tb 0.000 0.000 0.000
Nd 0.250 0.250 0.250
Nd 0.750 0.750 0.750
In 0.500 0.500 0.500
CELL_PARAMETERS angstrom
0.000 3.939 3.939
3.939 0.000 3.939
3.939 3.939 0.000
```

Output
* calculated volume: 122 Å³ per cell
* total magnetization: 0.03 μB per formula unit



Entry four
An optimized crystal structure of TbNd2In. Source: Alexandria via LeMat-Bulk, functional PBE-GGA. Values from VASP.

```
&SYSTEM
  ibrav = 0, nat = 4, ntyp = 3
/
ATOMIC_SPECIES
Tb 158.93 Tb.upf
Nd 144.24 Nd.upf
In 114.82 In.upf
ATOMIC_POSITIONS crystal
Tb 0.000 0.000 0.000
Nd 0.578 0.578 0.578
Nd 0.755 0.755 0.755
In 0.166 0.166 0.166
CELL_PARAMETERS angstrom
1.846 1.066 11.053
-1.846 1.066 11.053
0.000 -2.131 11.053
```

Output
* calculated volume: 130 Å³ per cell
* total magnetization: 0.18 μB per formula unit



Relative energy table, unit kJ/mol of atoms: entry one 0.0; entry two 6.1; entry three 12.0; entry four 14.8



Entry one
An optimized crystal structure of Tb2NdIn4. Source: Alexandria via LeMat-Bulk, functional PBE-GGA. Values from VASP.

```
&SYSTEM
  ibrav = 0, nat = 7, ntyp = 3
/
ATOMIC_SPECIES
Tb 158.93 Tb.upf
Nd 144.24 Nd.upf
In 114.82 In.upf
ATOMIC_POSITIONS crystal
Tb 0.249 0.249 0.000
Tb 0.751 0.751 0.000
Nd 0.000 0.000 0.000
In 0.124 0.624 0.500
In 0.376 0.876 0.500
In 0.624 0.124 0.500
In 0.876 0.376 0.500
CELL_PARAMETERS angstrom
-2.359 2.359 9.305
2.359 -2.359 9.305
2.359 2.359 -9.305
```

Output
* calculated volume: 207 Å³ per cell
* total magnetization: 0.00 μB per formula unit



Entry two
An optimized crystal structure of Tb2NdIn4. Source: Alexandria via LeMat-Bulk, functional PBE-GGA. Values from VASP.

```
&SYSTEM
  ibrav = 0, nat = 7, ntyp = 3
/
ATOMIC_SPECIES
Tb 158.93 Tb.upf
Nd 144.24 Nd.upf
In 114.82 In.upf
ATOMIC_POSITIONS crystal
Tb 0.146 0.146 0.000
Tb 0.854 0.854 0.000
Nd 0.500 0.500 0.000
In 0.000 0.500 0.500
In 0.250 0.750 0.500
In 0.500 0.000 0.500
In 0.750 0.250 0.500
CELL_PARAMETERS angstrom
-2.987 2.987 5.823
2.987 -2.987 5.823
2.987 2.987 -5.823
```

Output
* calculated volume: 208 Å³ per cell
* total magnetization: 0.00 μB per formula unit



Relative energy table, unit kJ/mol of atoms: entry one 0.0; entry two 8.3



Entry one
An optimized crystal structure of Tb2Nd6In. Source: Alexandria via LeMat-Bulk, functional PBE-GGA. Values from VASP.

```
&SYSTEM
  ibrav = 0, nat = 18, ntyp = 3
/
ATOMIC_SPECIES
Tb 158.93 Tb.upf
Nd 144.24 Nd.upf
In 114.82 In.upf
ATOMIC_POSITIONS crystal
Tb 0.162 0.162 0.000
Tb 0.338 0.662 0.500
Tb 0.662 0.338 0.500
Tb 0.838 0.838 0.000
Nd 0.002 0.667 0.500
Nd 0.159 0.841 0.000
Nd 0.167 0.498 0.000
Nd 0.333 0.998 0.500
Nd 0.341 0.341 0.500
Nd 0.498 0.167 0.000
Nd 0.502 0.833 0.000
Nd 0.659 0.659 0.500
Nd 0.667 0.002 0.500
Nd 0.833 0.502 0.000
Nd 0.841 0.159 0.000
Nd 0.998 0.333 0.500
In 0.000 0.000 0.500
In 0.500 0.500 0.000
CELL_PARAMETERS angstrom
10.877 0.000 0.000
0.000 10.877 0.000
0.000 0.000 5.016
```

Output
* calculated volume: 593 Å³ per cell
* total magnetization: 0.00 μB per formula unit



Entry two
An optimized crystal structure of Tb2Nd6In. Source: Alexandria via LeMat-Bulk, functional PBE-GGA. Values from VASP.

```
&SYSTEM
  ibrav = 0, nat = 18, ntyp = 3
/
ATOMIC_SPECIES
Tb 158.93 Tb.upf
Nd 144.24 Nd.upf
In 114.82 In.upf
ATOMIC_POSITIONS crystal
Tb 0.172 0.328 0.075
Tb 0.328 0.172 0.575
Tb 0.672 0.828 0.425
Tb 0.828 0.672 0.925
Nd 0.006 0.151 0.720
Nd 0.082 0.582 0.582
Nd 0.151 0.006 0.220
Nd 0.350 0.493 0.062
Nd 0.418 0.918 0.918
Nd 0.493 0.350 0.562
Nd 0.507 0.650 0.438
Nd 0.582 0.082 0.082
Nd 0.650 0.507 0.938
Nd 0.849 0.994 0.780
Nd 0.918 0.418 0.418
Nd 0.994 0.849 0.280
In 0.249 0.751 0.750
In 0.751 0.249 0.250
CELL_PARAMETERS angstrom
10.503 -4.659 0.000
10.503 4.659 0.000
-1.924 0.000 6.067
```

Output
* calculated volume: 594 Å³ per cell
* total magnetization: 0.00 μB per formula unit



Relative energy table, unit kJ/mol of atoms: entry one 0.0; entry two 2.2



Entry one
An optimized crystal structure of Tb3Nd2In4. Source: Alexandria via LeMat-Bulk, functional PBE-GGA. Values from VASP.

```
&SYSTEM
  ibrav = 0, nat = 18, ntyp = 3
/
ATOMIC_SPECIES
Tb 158.93 Tb.upf
Nd 144.24 Nd.upf
In 114.82 In.upf
ATOMIC_POSITIONS crystal
Tb 0.000 0.000 0.000
Tb 0.030 0.470 0.250
Tb 0.470 0.030 0.750
Tb 0.500 0.500 0.500
Tb 0.530 0.970 0.250
Tb 0.970 0.530 0.750
Nd 0.108 0.892 0.423
Nd 0.392 0.608 0.923
Nd 0.608 0.392 0.077
Nd 0.892 0.108 0.577
In 0.182 0.818 0.038
In 0.213 0.287 0.250
In 0.287 0.213 0.750
In 0.318 0.682 0.538
In 0.682 0.318 0.462
In 0.713 0.787 0.250
In 0.787 0.713 0.750
In 0.818 0.182 0.962
CELL_PARAMETERS angstrom
3.554 -8.400 0.000
3.554 8.400 0.000
0.000 0.000 9.123
```

Output
* calculated volume: 545 Å³ per cell
* total magnetization: 0.00 μB per formula unit



Entry two
An optimized crystal structure of Tb3Nd2In4. Source: Alexandria via LeMat-Bulk, functional PBE-GGA. Values from VASP.

```
&SYSTEM
  ibrav = 0, nat = 9, ntyp = 3
/
ATOMIC_SPECIES
Tb 158.93 Tb.upf
Nd 144.24 Nd.upf
In 114.82 In.upf
ATOMIC_POSITIONS crystal
Tb 0.000 0.000 0.000
Tb 0.333 0.667 0.425
Tb 0.667 0.333 0.575
Nd 0.333 0.667 0.779
Nd 0.667 0.333 0.221
In 0.000 0.000 0.350
In 0.000 0.000 0.650
In 0.333 0.667 0.101
In 0.667 0.333 0.899
CELL_PARAMETERS angstrom
5.347 0.000 0.000
-2.674 4.631 0.000
0.000 0.000 10.455
```

Output
* calculated volume: 259 Å³ per cell
* total magnetization: 0.00 μB per formula unit



Relative energy table, unit kJ/mol of atoms: entry one 10.2; entry two 0.0



Entry one
An optimized crystal structure of Tb3Nd2In. Source: Alexandria via LeMat-Bulk, functional PBE-GGA. Values from VASP.

```
&SYSTEM
  ibrav = 0, nat = 6, ntyp = 3
/
ATOMIC_SPECIES
Tb 158.93 Tb.upf
Nd 144.24 Nd.upf
In 114.82 In.upf
ATOMIC_POSITIONS crystal
Tb 0.000 0.000 0.000
Tb 0.336 0.664 0.000
Tb 0.664 0.336 0.000
Nd 0.162 0.838 0.500
Nd 0.838 0.162 0.500
In 0.500 0.500 0.500
CELL_PARAMETERS angstrom
2.455 -7.662 0.000
2.455 7.662 0.000
0.000 0.000 4.947
```

Output
* calculated volume: 186 Å³ per cell
* total magnetization: 0.00 μB per formula unit



Entry two
An optimized crystal structure of Tb3Nd2In. Source: Alexandria via LeMat-Bulk, functional PBE-GGA. Values from VASP.

```
&SYSTEM
  ibrav = 0, nat = 6, ntyp = 3
/
ATOMIC_SPECIES
Tb 158.93 Tb.upf
Nd 144.24 Nd.upf
In 114.82 In.upf
ATOMIC_POSITIONS crystal
Tb 0.000 0.000 0.000
Tb 0.303 0.965 0.339
Tb 0.626 0.965 0.661
Nd 0.546 0.717 0.828
Nd 0.889 0.717 0.172
In 0.233 0.733 0.500
CELL_PARAMETERS angstrom
-1.707 5.016 5.855
1.707 -5.016 5.855
1.707 5.016 -5.855
```

Output
* calculated volume: 201 Å³ per cell
* total magnetization: 0.01 μB per formula unit



Relative energy table, unit kJ/mol of atoms: entry one 0.0; entry two 37.8



Entry one
An optimized crystal structure of Tb3Nd3In2. Source: Alexandria via LeMat-Bulk, functional PBE-GGA. Values from VASP.

```
&SYSTEM
  ibrav = 0, nat = 16, ntyp = 3
/
ATOMIC_SPECIES
Tb 158.93 Tb.upf
Nd 144.24 Nd.upf
In 114.82 In.upf
ATOMIC_POSITIONS crystal
Tb 0.045 0.955 0.750
Tb 0.140 0.860 0.034
Tb 0.140 0.860 0.466
Tb 0.860 0.140 0.534
Tb 0.860 0.140 0.966
Tb 0.955 0.045 0.250
Nd 0.234 0.766 0.250
Nd 0.460 0.540 0.105
Nd 0.460 0.540 0.395
Nd 0.540 0.460 0.605
Nd 0.540 0.460 0.895
Nd 0.766 0.234 0.750
In 0.268 0.732 0.636
In 0.268 0.732 0.864
In 0.732 0.268 0.136
In 0.732 0.268 0.364
CELL_PARAMETERS angstrom
2.623 -6.021 0.000
2.623 6.021 0.000
0.000 0.000 16.135
```

Output
* calculated volume: 510 Å³ per cell
* total magnetization: 0.00 μB per formula unit



Entry two
An optimized crystal structure of Tb3Nd3In2. Source: Alexandria via LeMat-Bulk, functional PBE-GGA. Values from VASP.

```
&SYSTEM
  ibrav = 0, nat = 8, ntyp = 3
/
ATOMIC_SPECIES
Tb 158.93 Tb.upf
Nd 144.24 Nd.upf
In 114.82 In.upf
ATOMIC_POSITIONS crystal
Tb 0.000 0.000 0.000
Tb 0.000 0.500 0.248
Tb 0.000 0.500 0.752
Nd 0.000 0.000 0.500
Nd 0.500 0.500 0.000
Nd 0.500 0.500 0.500
In 0.500 0.000 0.247
In 0.500 0.000 0.753
CELL_PARAMETERS angstrom
4.899 0.000 0.000
0.000 4.924 0.000
0.000 0.000 9.920
```

Output
* calculated volume: 239 Å³ per cell
* total magnetization: 0.01 μB per formula unit



Relative energy table, unit kJ/mol of atoms: entry one 10.5; entry two 0.0



Entry one
An optimized crystal structure of TbNdIn. Source: Alexandria via LeMat-Bulk, functional PBE-GGA. Values from VASP.

```
&SYSTEM
  ibrav = 0, nat = 6, ntyp = 3
/
ATOMIC_SPECIES
Tb 158.93 Tb.upf
Nd 144.24 Nd.upf
In 114.82 In.upf
ATOMIC_POSITIONS crystal
Tb 0.250 0.250 0.142
Tb 0.750 0.750 0.858
Nd 0.250 0.750 0.500
Nd 0.750 0.250 0.500
In 0.250 0.250 0.777
In 0.750 0.750 0.223
CELL_PARAMETERS angstrom
4.668 0.000 0.000
0.000 4.668 0.000
0.000 0.000 8.537
```

Output
* calculated volume: 186 Å³ per cell
* total magnetization: 0.36 μB per formula unit



Entry two
An optimized crystal structure of TbNdIn. Source: Alexandria via LeMat-Bulk, functional PBE-GGA. Values from VASP.

```
&SYSTEM
  ibrav = 0, nat = 6, ntyp = 3
/
ATOMIC_SPECIES
Tb 158.93 Tb.upf
Nd 144.24 Nd.upf
In 114.82 In.upf
ATOMIC_POSITIONS crystal
Tb 0.206 0.206 0.000
Tb 0.794 0.794 0.000
Nd 0.061 0.061 0.000
Nd 0.939 0.939 0.000
In 0.367 0.367 0.000
In 0.633 0.633 0.000
CELL_PARAMETERS angstrom
-1.762 1.762 14.988
1.762 -1.762 14.988
1.762 1.762 -14.988
```

Output
* calculated volume: 186 Å³ per cell
* total magnetization: 0.00 μB per formula unit



Relative energy table, unit kJ/mol of atoms: entry one 0.0; entry two 1.7